# 1
BaHfIn3: relaxed, PBE.

a = 6.003 Å, b = 6.003 Å, c = 6.003 Å
α = 90.00°, β = 90.00°, γ = 90.00°
Element x y z (fractional)
Ba 0.000 0.000 0.000
Hf 0.500 0.500 0.500
In 0.000 0.000 0.500
In 0.000 0.500 0.000
In 0.500 0.000 0.000

## Properties
Its space-group type is No. 221. For the total moment, the calculation gives 2.35 Bohr magnetons per cell. The calculation puts the density at 5.1 Mg/m³. Its energy of formation is 1.517 eV per atom.

=====

# 2
CaDy2Er: relaxed, PBE.

a = 5.720 Å, b = 5.720 Å, c = 5.720 Å
α = 60.00°, β = 60.00°, γ = 60.00°
Element x y z (fractional)
Ca 0.000 0.000 0.000
Dy 0.250 0.250 0.250
Dy 0.750 0.750 0.750
Er 0.500 0.500 0.500

## Properties
Its space-group type is No. 225. For the total moment, the calculation gives 0.00 Bohr magnetons per cell. The calculation puts the density at 6.7 Mg/m³. Its energy of formation is 0.171 eV per atom.

=====

# 3
TaCr2Sb: relaxed, PBE.

a = 4.422 Å, b = 4.422 Å, c = 4.422 Å
α = 60.00°, β = 60.00°, γ = 60.00°
Element x y z (fractional)
Ta 0.000 0.000 0.000
Cr 0.250 0.250 0.250
Cr 0.750 0.750 0.750
Sb 0.500 0.500 0.500

## Properties
Its space-group type is No. 225. For the total moment, the calculation gives 2.00 Bohr magnetons per cell. The calculation puts the density at 11.0 Mg/m³. The uncorrected formation energy comes out at 0.120 eV per atom.